No. 1
A plane-wave DFT calculation with PBE-GGA was carried out for an optimized crystal structure of InRe2Si2.

Cell lengths 6.9950, 6.9950, 6.9950 Å; angles 151.22, 151.22, 41.16 degrees
Positions (direct):
In 0.0000 0.0000 0.0000
Re 0.3845 0.3845 0.0000
Re 0.6155 0.6155 0.0000
Si 0.2500 0.7500 0.5000
Si 0.7500 0.2500 0.5000

Results
**Raw formation energy**: -7 meV per atom
**Density**: 11.40 g/cm3



No. 2
A plane-wave DFT calculation with PBE-GGA was carried out for an optimized crystal structure of In3ReSi.

Cell lengths 5.2146, 5.2146, 5.2146 Å; angles 90.00, 90.00, 90.00 degrees
Positions (direct):
In 0.0000 0.0000 0.5000
In 0.0000 0.5000 0.0000
In 0.5000 0.0000 0.0000
Re 0.0000 0.0000 0.0000
Si 0.5000 0.5000 0.5000

Results
**Raw formation energy**: 971 meV per atom
**Density**: 6.54 g/cm3



No. 3
A plane-wave DFT calculation with PBE-GGA was carried out for an optimized crystal structure of InRe3Si.

Cell lengths 4.8390, 4.8390, 4.8390 Å; angles 90.00, 90.00, 90.00 degrees
Positions (direct):
In 0.0000 0.0000 0.0000
Re 0.0000 0.0000 0.5000
Re 0.0000 0.5000 0.0000
Re 0.5000 0.0000 0.0000
Si 0.5000 0.5000 0.5000

Results
**Raw formation energy**: 3191 meV per atom
**Density**: 10.28 g/cm3



No. 4
A plane-wave DFT calculation with PBE-GGA was carried out for an optimized crystal structure of InRe2Si.

Cell lengths 4.5060, 4.5060, 4.5060 Å; angles 60.00, 60.00, 60.00 degrees
Positions (direct):
In 0.0000 0.0000 0.0000
Re 0.5000 0.5000 0.5000
Re 0.7500 0.7500 0.7500
Si 0.2500 0.2500 0.2500

Results
**Raw formation energy**: 652 meV per atom
**Density**: 13.23 g/cm3



No. 5
A plane-wave DFT calculation with PBE-GGA was carried out for an optimized crystal structure of InRe2Si.

Cell lengths 4.6093, 4.6093, 5.1907 Å; angles 103.63, 103.63, 37.42 degrees
Positions (direct):
In 0.0000 0.0000 0.0000
Re 0.2283 0.2283 0.7032
Re 0.7717 0.7717 0.2968
Si 0.5000 0.5000 0.5000

Results
**Raw formation energy**: 358 meV per atom
**Density**: 13.18 g/cm3



No. 6
A plane-wave DFT calculation with PBE-GGA was carried out for an optimized crystal structure of InReSi3.

Cell lengths 4.7489, 4.7489, 4.7489 Å; angles 90.00, 90.00, 90.00 degrees
Positions (direct):
In 0.0000 0.0000 0.0000
Re 0.5000 0.5000 0.5000
Si 0.0000 0.5000 0.5000
Si 0.5000 0.0000 0.5000
Si 0.5000 0.5000 0.0000

Results
**Raw formation energy**: 448 meV per atom
**Density**: 5.97 g/cm3



Respective density of states at the Fermi level values: 0.45; 1.20; 0.90; 0.90; 0.67; 0.71 states/eV/atom.
Respective spin magnetization values: 0.000; 0.102; 0.715; 0.000; 0.000; 0.000 μB/atom.